Record 1
NbBAu (PBE, relaxed); electronic total energy = -17.13 eV for the cell shown
1.0
-3.928 -1.277 0.405
-1.816 0.025 3.732
-2.999 2.746 0.830
B Nb Au
1 1 1
Cartesian
-2.186 0.373 1.242 B
-6.557 1.120 3.725 Nb
0.000 0.000 0.000 Au

---

Record 2
NbBAu2 (PBE, relaxed); electronic total energy = -20.92 eV for the cell shown
1.0
0.000 3.145 3.145
3.145 0.000 3.145
3.145 3.145 0.000
Nb B Au
1 1 2
Cartesian
1.572 1.572 1.572 Nb
3.145 3.145 3.145 B
0.000 0.000 0.000 Au
4.717 4.717 4.717 Au

---

Record 3
Nb2B2Au (PBE, relaxed); electronic total energy = -39.50 eV for the cell shown
1.0
-6.416 -1.348 -0.111
5.994 -0.362 2.635
-0.602 2.722 1.744
B Au Nb
2 1 2
Cartesian
-3.708 -1.133 0.488 B
3.285 -0.577 2.036 B
0.000 0.000 0.000 Au
1.312 0.651 2.538 Nb
-2.337 0.361 1.730 Nb

---

Record 4
Nb2BAu (PBE, relaxed); electronic total energy = -62.80 eV for the cell shown
1.0
3.217 0.000 0.000
-1.608 2.786 0.000
0.000 0.000 14.045
Au Nb B
2 4 2
Cartesian
0.000 1.857 10.534 Au
1.608 0.929 3.511 Au
1.608 0.929 8.286 Nb
0.000 1.857 5.759 Nb
0.000 1.857 1.264 Nb
1.608 0.929 12.781 Nb
0.000 0.000 0.000 B
0.000 0.000 7.023 B

---

Repeat the third record exactly.
Nb2B2Au (PBE, relaxed); electronic total energy = -39.50 eV for the cell shown
1.0
-6.416 -1.348 -0.111
5.994 -0.362 2.635
-0.602 2.722 1.744
B Au Nb
2 1 2
Cartesian
-3.708 -1.133 0.488 B
3.285 -0.577 2.036 B
0.000 0.000 0.000 Au
1.312 0.651 2.538 Nb
-2.337 0.361 1.730 Nb